Density functional theory data (PBE) for an optimized crystal structure of AlZn2Si.

The calculated volume is 62 Å³/f.u. The value obtained for the formation energy from raw total energies is 3.4 kcal/mol of atoms. The crystal system is monoclinic.

Unit cell a=4.7807 b=2.6563 c=5.2126 alpha=90.00 beta=109.87 gamma=90.00
With the nearest neighbours (Å) after each atom.
Space group P2/m (No. 10)
Unique sites:
1 Al 0.0000 0.0000 0.0000 x1  2 Al 2.66, 4 Si 2.73, 6 Zn 2.88-2.93
2 Zn 0.0000 0.5000 0.5000 x1  6 Zn 2.66-2.73, 2 Si 2.88, 4 Al 2.93
3 Zn 0.5000 0.0000 0.5000 x1  6 Zn 2.66-2.73, 2 Al 2.88, 4 Si 2.93
4 Si 0.5000 0.5000 0.0000 x1  2 Si 2.66, 4 Al 2.73, 6 Zn 2.88-2.93